First-principles (PBE) data for crystalline Ba2PbSe at its relaxed geometry, as listed in Alexandria via LeMat-Bulk.

Unit cell a=4.4563 b=4.4563 c=9.3328 alpha=90.00 beta=90.00 gamma=89.98
Last column: nearest neighbours and their distance in Å.
Fractional positions:
Ba1 0.0000 0.0000 0.8423  4 Se 3.26, 1 Pb 3.62
Ba2 0.5000 0.5000 0.2710  1 Se 3.16
Pb1 0.0000 0.0000 0.4546  5 Ba 3.59-3.62
Se1 0.5000 0.5000 0.9321  5 Ba 3.16-3.26

Values from the calculation:
Space group = P4mm (99)
Uncorrected energy = -3.767 eV/atom
Raw formation energy = -1007.1 meV per atom